Record 1
DFT (PBE-GGA) results for a geometry-optimized Sr2HgPt2 structure.

a b c (Å): 9.3689 9.3689 9.3689
angles (deg): 155.92 155.92 34.31
Last column: nearest neighbours and their distance in Å.
Fractional positions:
Sr (0.1185, 0.1185, 0.0000)  4 Pt 3.06
Sr (0.8815, 0.8815, 0.0000)  4 Pt 3.06
Hg (0.5000, 0.5000, 0.0000)  8 Sr 3.48
Pt (0.2500, 0.7500, 0.5000)  4 Pt 2.76, 4 Sr 3.06
Pt (0.7500, 0.2500, 0.5000)  4 Pt 2.76, 4 Sr 3.06

Computed properties:
- Fermi-level density of states: 0.856 states/eV per atom
- DFT total energy: -3.661 eV per atom
- V: 27.34 Å³ per atom
- Space group: I4/mmm, No. 139

Record 2
DFT (PBE-GGA) results for a geometry-optimized Si3MoPt structure.

a b c (Å): 4.6526 4.6526 4.6526
angles (deg): 90.00 90.00 90.00
Last column: nearest neighbours and their distance in Å.
Fractional positions:
Si (0.0000, 0.0000, 0.5000)  2 Mo 2.33
Si (0.0000, 0.5000, 0.0000)  2 Mo 2.33
Si (0.5000, 0.0000, 0.0000)  2 Mo 2.33
Mo (0.0000, 0.0000, 0.0000)  6 Si 2.33
Pt (0.5000, 0.5000, 0.5000)  12 Si 3.29

Computed properties:
- Fermi-level density of states: 0.525 states/eV per atom
- Energy above the lowest structure with this stoichiometry: 0.0 kJ/mol of atoms
- DFT total energy: -5.811 eV per atom
- Energy relative to the elements, uncorrected: 78.8 kJ/mol of atoms
- V: 20.14 Å³ per atom
- Space group: Pm-3m, No. 221

Record 3
DFT (PBE-GGA) results for a geometry-optimized CuPb2O2F2 structure.

a b c (Å): 7.3107 7.3107 7.3107
angles (deg): 148.03 148.03 45.84
Last column: nearest neighbours and their distance in Å.
Fractional positions:
Cu (0.0000, 0.0000, 0.0000)  4 O 2.01
Pb (0.3676, 0.3676, 0.0000)  4 F 2.56, 4 O 2.69
Pb (0.6324, 0.6324, 0.0000)  4 F 2.56, 4 O 2.69
O (0.0000, 0.5000, 0.5000)  2 Cu 2.01
O (0.5000, 0.0000, 0.5000)  2 Cu 2.01
F (0.2500, 0.7500, 0.5000)  4 Pb 2.56, 4 F 2.85
F (0.7500, 0.2500, 0.5000)  4 Pb 2.56, 4 F 2.85

Computed properties:
- Fermi-level density of states: 0.360 states/eV per atom
- Energy above the lowest structure with this stoichiometry: 0.0 kJ/mol of atoms
- DFT total energy: -5.009 eV per atom
- Energy relative to the elements, uncorrected: -136.3 kJ/mol of atoms
- V: 15.60 Å³ per atom
- Space group: I4/mmm, No. 139

Record 4
DFT (PBE-GGA) results for a geometry-optimized RbScSn structure.

a b c (Å): 3.5380 4.4894 13.8656
angles (deg): 90.00 90.76 90.00
Last column: nearest neighbours and their distance in Å.
Fractional positions:
Rb (0.2325, 0.2500, 0.1614)  2 Rb 3.54, 1 Sc 3.71, 4 Sn 3.90
Rb (0.7675, 0.7500, 0.8386)  2 Rb 3.54, 1 Sc 3.71, 4 Sn 3.90
Sc (0.2459, 0.2500, 0.4292)  5 Sn 3.02-3.05
Sc (0.7541, 0.7500, 0.5708)  5 Sn 3.02-3.05
Sn (0.2583, 0.2500, 0.6470)  5 Sc 3.02-3.05
Sn (0.7417, 0.7500, 0.3530)  5 Sc 3.02-3.05

Computed properties:
- Fermi-level density of states: 0.928 states/eV per atom
- Energy above the lowest structure with this stoichiometry: 2.5 kJ/mol of atoms
- DFT total energy: -4.090 eV per atom
- V: 36.70 Å³ per atom
- Space group: P2_1/m, No. 11

Record 5
DFT (PBE-GGA) results for a geometry-optimized La2Y3Tm2 structure.

a b c (Å): 12.2092 12.2092 12.2092
angles (deg): 163.36 153.65 31.33
Last column: nearest neighbours and their distance in Å.
Fractional positions:
La (0.0696, 0.0696, 0.0000)  3 La 3.27-3.53, 2 Tm 3.30
La (0.9304, 0.9304, 0.0000)  3 La 3.27-3.53, 2 Tm 3.30
Y (0.2102, 0.7102, 0.5000)  5 Tm 3.40-3.64, 6 Y 3.53-3.79, 2 La 3.75
Y (0.5000, 0.5000, 0.0000)  2 Y 3.53, 8 La 3.68, 4 Tm 3.84
Y (0.7898, 0.2898, 0.5000)  5 Tm 3.40-3.64, 6 Y 3.53-3.79, 2 La 3.75
Tm (0.3550, 0.8550, 0.5000)  2 La 3.30, 5 Y 3.40-3.64, 2 Tm 3.53
Tm (0.6450, 0.1450, 0.5000)  2 La 3.30, 5 Y 3.40-3.64, 2 Tm 3.53

Computed properties:
- Fermi-level density of states: 1.859 states/eV per atom
- Energy above the lowest structure with this stoichiometry: 0.0 kJ/mol of atoms
- DFT total energy: -5.382 eV per atom
- V: 33.03 Å³ per atom
- Space group: Immm, No. 71

Record 6
DFT (PBE-GGA) results for a geometry-optimized PrPtN4 structure.

a b c (Å): 4.9289 5.5741 7.0764
angles (deg): 102.50 93.26 98.02
Last column: nearest neighbours and their distance in Å.
Fractional positions:
Pr (0.1801, 0.3556, 0.1803)  6 N 2.47-2.76
Pr (0.8199, 0.6444, 0.8197)  6 N 2.47-2.76
Pt (0.4870, 0.1424, 0.8413)  2 N 2.03
Pt (0.5130, 0.8576, 0.1587)  2 N 2.03
N (0.0702, 0.0690, 0.8059)  1 N 1.29
N (0.0975, 0.7735, 0.1495)  1 N 1.29
N (0.2546, 0.6024, 0.6035)  1 N 1.17
N (0.4310, 0.7588, 0.5895)  1 N 1.17
N (0.5690, 0.2412, 0.4105)  1 N 1.17
N (0.7454, 0.3976, 0.3965)  1 N 1.17
N (0.9025, 0.2265, 0.8505)  1 N 1.29
N (0.9298, 0.9310, 0.1941)  1 N 1.29

Computed properties:
- Fermi-level density of states: 0.435 states/eV per atom
- DFT total energy: -7.475 eV per atom
- Energy relative to the elements, uncorrected: -11.7 kJ/mol of atoms
- V: 15.60 Å³ per atom
- Space group: P-1, No. 2

Record 7
DFT (PBE-GGA) results for a geometry-optimized Pr12InSn4N3 structure.

a b c (Å): 9.0810 9.0810 9.0810
angles (deg): 109.47 109.47 109.47
Last column: nearest neighbours and their distance in Å.
Fractional positions:
Pr (0.0000, 0.2750, 0.2750)  1 N 2.36
Pr (0.0000, 0.7250, 0.7250)  1 N 2.36
Pr (0.2500, 0.5000, 0.7500)  2 N 2.62
Pr (0.2500, 0.7500, 0.5000)  2 N 2.62
Pr (0.2750, 0.0000, 0.2750)  1 N 2.36
Pr (0.2750, 0.2750, 0.0000)  1 N 2.36
Pr (0.5000, 0.2500, 0.7500)  2 N 2.62
Pr (0.5000, 0.7500, 0.2500)  2 N 2.62
Pr (0.7250, 0.0000, 0.7250)  1 N 2.36
Pr (0.7250, 0.7250, 0.0000)  1 N 2.36
Pr (0.7500, 0.2500, 0.5000)  2 N 2.62
Pr (0.7500, 0.5000, 0.2500)  2 N 2.62
In (0.0000, 0.0000, 0.0000)  6 Pr 2.88
Sn (0.0000, 0.0000, 0.5000)  12 Pr 3.71-3.72
Sn (0.0000, 0.5000, 0.0000)  12 Pr 3.71-3.72
Sn (0.5000, 0.0000, 0.0000)  12 Pr 3.71-3.72
Sn (0.5000, 0.5000, 0.5000)  12 Pr 3.71-3.72
N (0.0000, 0.5000, 0.5000)  6 Pr 2.36-2.62
N (0.5000, 0.0000, 0.5000)  6 Pr 2.36-2.62
N (0.5000, 0.5000, 0.0000)  6 Pr 2.36-2.62

Computed properties:
- Fermi-level density of states: 0.585 states/eV per atom
- DFT total energy: -5.691 eV per atom
- Energy relative to the elements, uncorrected: -61.5 kJ/mol of atoms
- V: 28.82 Å³ per atom
- Space group: Im-3m, No. 229

Record 8
DFT (PBE-GGA) results for a geometry-optimized BaSrCaBr6 structure.

a b c (Å): 7.7121 7.7121 13.8840
angles (deg): 90.00 90.00 120.00
Last column: nearest neighbours and their distance in Å.
Fractional positions:
Ba (0.0000, 0.0000, 0.0000)  6 Br 3.28
Ba (0.0000, 0.0000, 0.5000)  6 Br 3.28
Sr (0.3333, 0.6667, 0.2500)  6 Br 3.07
Sr (0.6667, 0.3333, 0.7500)  6 Br 3.07
Ca (0.3333, 0.6667, 0.7500)  6 Br 2.92
Ca (0.6667, 0.3333, 0.2500)  6 Br 2.92
Br (0.0144, 0.3608, 0.6309)  1 Ca 2.92, 1 Sr 3.07
Br (0.0144, 0.6536, 0.8691)  1 Ca 2.92, 1 Sr 3.07
Br (0.3464, 0.3608, 0.8691)  1 Ca 2.92, 1 Sr 3.07
Br (0.3464, 0.9856, 0.6309)  1 Ca 2.92, 1 Sr 3.07
Br (0.3608, 0.0144, 0.1309)  1 Ca 2.92, 1 Sr 3.07
Br (0.3608, 0.3464, 0.3691)  1 Ca 2.92, 1 Sr 3.07
Br (0.6392, 0.6536, 0.6309)  1 Ca 2.92, 1 Sr 3.07
Br (0.6392, 0.9856, 0.8691)  1 Ca 2.92, 1 Sr 3.07
Br (0.6536, 0.0144, 0.3691)  1 Ca 2.92, 1 Sr 3.07
Br (0.6536, 0.6392, 0.1309)  1 Ca 2.92, 1 Sr 3.07
Br (0.9856, 0.3464, 0.1309)  1 Ca 2.92, 1 Sr 3.07
Br (0.9856, 0.6392, 0.3691)  1 Ca 2.92, 1 Sr 3.07

Computed properties:
- Fermi-level density of states: 0.000 states/eV per atom
- DFT total energy: -3.840 eV per atom
- Energy relative to the elements, uncorrected: -202.8 kJ/mol of atoms
- V: 39.73 Å³ per atom
- Space group: P-31c, No. 163

Record 9
DFT (PBE-GGA) results for a geometry-optimized Sb2PtAu structure.

a b c (Å): 3.9408 3.9408 7.1536
angles (deg): 105.37 105.37 59.36
Last column: nearest neighbours and their distance in Å.
Fractional positions:
Sb (0.2401, 0.2401, 0.2246)  3 Pt 2.74, 3 Au 2.93-2.95
Sb (0.7599, 0.7599, 0.7754)  3 Pt 2.74, 3 Au 2.93-2.95
Pt (0.5000, 0.5000, 0.0000)  6 Sb 2.74
Au (0.0000, 0.0000, 0.5000)  6 Sb 2.93-2.95

Computed properties:
- Fermi-level density of states: 0.556 states/eV per atom
- Energy above the lowest structure with this stoichiometry: 0.0 kJ/mol of atoms
- DFT total energy: -4.604 eV per atom
- Energy relative to the elements, uncorrected: -20.6 kJ/mol of atoms
- V: 22.76 Å³ per atom
- Space group: C2/m, No. 12

Record 10
DFT (PBE-GGA) results for a geometry-optimized HfCuBr6 structure.

a b c (Å): 5.9991 6.9609 7.9887
angles (deg): 109.39 111.23 95.90
Last column: nearest neighbours and their distance in Å.
Fractional positions:
Hf (0.0000, 0.0000, 0.0000)  6 Br 2.53-2.69
Cu (0.5000, 0.5000, 0.0000)  4 Br 2.42-2.51
Br (0.1421, 0.6489, 0.8720)  1 Cu 2.51, 1 Hf 2.67
Br (0.2078, 0.1581, 0.8116)  1 Cu 2.42, 1 Hf 2.69
Br (0.3800, 0.1752, 0.3226)  1 Hf 2.53
Br (0.6200, 0.8248, 0.6774)  1 Hf 2.53
Br (0.7922, 0.8419, 0.1884)  1 Cu 2.42, 1 Hf 2.69
Br (0.8579, 0.3511, 0.1280)  1 Cu 2.51, 1 Hf 2.67

Computed properties:
- Fermi-level density of states: 0.188 states/eV per atom
- DFT total energy: -3.902 eV per atom
- Energy relative to the elements, uncorrected: -86.0 kJ/mol of atoms
- V: 35.47 Å³ per atom
- Space group: P-1, No. 2

Record 11
DFT (PBE-GGA) results for a geometry-optimized CoSNCl2 structure.

a b c (Å): 4.2071 4.2071 4.5000
angles (deg): 90.00 90.00 90.00
Last column: nearest neighbours and their distance in Å.
Fractional positions:
Co (0.0000, 0.0000, 0.0000)  4 S 2.97, 8 Cl 3.08
S (0.5000, 0.5000, 0.0000)  2 N 2.25
N (0.5000, 0.5000, 0.5000)  4 Cl 2.10, 2 S 2.25
Cl (0.0000, 0.5000, 0.5000)  2 N 2.10
Cl (0.5000, 0.0000, 0.5000)  2 N 2.10

Computed properties:
- Fermi-level density of states: 1.438 states/eV per atom
- Energy above the lowest structure with this stoichiometry: 0.0 kJ/mol of atoms
- DFT total energy: -3.338 eV per atom
- Energy relative to the elements, uncorrected: 126.6 kJ/mol of atoms
- V: 15.93 Å³ per atom
- Space group: P4/mmm, No. 123

Record 12
DFT (PBE-GGA) results for a geometry-optimized NaAcTe2Pd2 structure.

a b c (Å): 4.6492 4.6492 8.4941
angles (deg): 90.00 90.00 120.00
Last column: nearest neighbours and their distance in Å.
Fractional positions:
Na (0.0000, 0.0000, 0.0000)  6 Te 3.37, 6 Pd 3.50
Ac (0.0000, 0.0000, 0.5000)  6 Pd 3.35, 6 Te 3.48
Te (0.3333, 0.6667, 0.7601)  3 Pd 2.69
Te (0.6667, 0.3333, 0.2399)  3 Pd 2.69
Pd (0.3333, 0.6667, 0.2644)  3 Te 2.69
Pd (0.6667, 0.3333, 0.7356)  3 Te 2.69

Computed properties:
- Fermi-level density of states: 0.116 states/eV per atom
- DFT total energy: -4.659 eV per atom
- Energy relative to the elements, uncorrected: -94.2 kJ/mol of atoms
- V: 26.50 Å³ per atom
- Space group: P-3m1, No. 164

Q: What is the V in the eleventh record?
A: 15.93 Å³ per atom

Q: Which formula does entry 10 have?
A: HfCuBr6

Q: Which of these has the highest Fermi-level density of states?
A: La2Y3Tm2

Q: Which of these has the highest Fermi-level density of states?
A: La2Y3Tm2